1.
Entry from Alexandria via LeMat-Bulk: an optimized crystal structure of HoMg3Sc (PBE-GGA).

Lattice parameters (Å, degrees): 5.6907 7.6792 7.6792 101.43 68.25 68.25
Last column: nearest neighbours and their distance in Å.
Atoms (fractional coordinates):
Ho  0.0000  0.5000  0.5000  4 Sc 3.48, 10 Mg 3.67-3.84
Ho  0.5000  0.0000  0.0000  4 Sc 3.48, 10 Mg 3.67-3.84
Mg  0.9332  0.2615  0.8721  5 Mg 2.89-3.13, 2 Sc 3.01-3.19
Mg  0.5668  0.6279  0.2385  5 Mg 2.89-3.13, 2 Sc 3.01-3.19
Mg  0.4332  0.3721  0.7615  5 Mg 2.89-3.13, 2 Sc 3.01-3.19
Mg  0.0668  0.7385  0.1279  5 Mg 2.89-3.13, 2 Sc 3.01-3.19
Mg  0.0000  0.0000  0.5000  6 Mg 2.85-2.95, 2 Sc 3.00
Mg  0.5000  0.0000  0.5000  6 Mg 2.85-2.95, 2 Sc 3.00
Sc  0.7500  0.2226  0.2774  6 Mg 3.00-3.19
Sc  0.2500  0.7774  0.7226  6 Mg 3.00-3.19

* relative energy among the computed polymorphs: 111 meV per atom
* uncorrected energy: -2.9425 eV per atom
* calculated formation energy: 0.196 eV per atom

2.
Entry from Alexandria via LeMat-Bulk: an optimized crystal structure of Th8Os3PtSe4 (PBE-GGA).

Lattice parameters (Å, degrees): 8.2825 8.7672 8.2825 118.19 120.00 90.00
Last column: nearest neighbours and their distance in Å.
Atoms (fractional coordinates):
Th  0.2427  0.7155  0.9729  2 Os 2.84, 1 Pt 2.92, 1 Se 3.13
Th  0.2426  0.7155  0.4853  2 Os 2.84, 1 Pt 2.92, 1 Se 3.13
Th  0.2616  0.2850  0.5232  3 Os 2.87, 3 Se 3.18
Th  0.7303  0.7155  0.9729  2 Os 2.84, 1 Pt 2.92, 1 Se 3.13
Th  0.2697  0.2845  0.0271  2 Os 2.84, 1 Pt 2.92, 1 Se 3.13
Th  0.7384  0.7150  0.4768  3 Os 2.87, 3 Se 3.18
Th  0.7574  0.2845  0.5147  2 Os 2.84, 1 Pt 2.92, 1 Se 3.13
Th  0.7573  0.2845  0.0271  2 Os 2.84, 1 Pt 2.92, 1 Se 3.13
Os  0.5000  0.5000  0.0000  6 Th 2.84-2.87
Os  0.5000  0.5000  0.5000  6 Th 2.84-2.87
Os  0.0000  0.5000  0.5000  6 Th 2.84-2.87
Pt  0.0000  0.5000  0.0000  6 Th 2.92
Se  0.5000  0.0000  0.0000  6 Th 3.13
Se  0.5000  0.0000  0.5000  6 Th 3.18-3.20
Se  0.0000  0.0000  0.0000  6 Th 3.18-3.20
Se  0.0000  0.0000  0.5000  6 Th 3.18-3.20

* raw formation energy: -17.834 eV/f.u.
* uncorrected energy: -8.1788 eV per atom

3.
Entry from Alexandria via LeMat-Bulk: an optimized crystal structure of MgTc2F (PBE-GGA).

Lattice parameters (Å, degrees): 4.3575 4.3575 4.3575 60.00 60.00 60.00
Last column: nearest neighbours and their distance in Å.
Atoms (fractional coordinates):
Mg  0.5000  0.5000  0.5000  8 Tc 2.67
Tc  0.2500  0.2500  0.2500  4 F 2.67, 4 Mg 2.67
Tc  0.7500  0.7500  0.7500  4 Mg 2.67, 4 F 2.67
F  0.0000  0.0000  0.0000  8 Tc 2.67

* relative energy among the computed polymorphs: 1062 meV per atom
* raw formation energy: 3.221 eV/f.u.
* uncorrected energy: -5.2441 eV per atom